Record 1
# ZrCd2Ru

Crystalline ZrCd2Ru at its relaxed geometry (GGA-PBE, Alexandria).

Results
For the magnetization, the calculation gives 0.2 μB/f.u. For the energy of formation, the calculation gives 0.070 eV/atom. The excess energy over the best structure of this formula in the dataset is 210 meV per atom. The density of states at the Fermi level comes out at 3.14 states/eV/cell.

Lattice parameters (Å, degrees): 3.005 4.510 5.580 90.00 90.00 90.00
Positions (direct):
Zr  0.000  0.000  0.000
Cd  0.500  0.500  0.262
Cd  0.500  0.500  0.738
Ru  0.000  0.000  0.500


Record 2
# ZrCd2Ru

Crystalline ZrCd2Ru at its relaxed geometry (GGA-PBE, Alexandria).

Results
For the magnetization, the calculation gives 0.0 μB/f.u. For the energy of formation, the calculation gives 0.023 eV/atom. The excess energy over the best structure of this formula in the dataset is 164 meV per atom. The density of states at the Fermi level comes out at 2.90 states/eV/cell.

Lattice parameters (Å, degrees): 9.496 9.496 9.496 19.55 19.55 19.55
Positions (direct):
Zr  0.000  0.000  0.000
Cd  0.240  0.240  0.240
Cd  0.479  0.479  0.479
Ru  0.731  0.731  0.731


Record 3
# Cd2S13

Crystalline Cd2S13 at its relaxed geometry (GGA-PBE, Alexandria).

Results
For the magnetization, the calculation gives 0.0 μB/f.u. For the uncorrected formation energy, the calculation gives 0.513 eV/atom. The density of states at the Fermi level comes out at 6.41 states/eV/cell.

Lattice parameters (Å, degrees): 9.729 9.729 9.729 39.31 39.31 39.31
Positions (direct):
Cd  0.145  0.145  0.145
Cd  0.855  0.855  0.855
S  0.000  0.000  0.000
S  0.111  0.111  0.491
S  0.111  0.491  0.111
S  0.270  0.270  0.608
S  0.270  0.608  0.270
S  0.392  0.730  0.730
S  0.491  0.111  0.111
S  0.509  0.889  0.889
S  0.608  0.270  0.270
S  0.730  0.392  0.730
S  0.730  0.730  0.392
S  0.889  0.509  0.889
S  0.889  0.889  0.509


V per entry: 18.9, 21.0, 22.2 Å³ per atom